*1*
A plane-wave DFT calculation with PBE was carried out for a relaxed structure of AlTl3In.

abc: 5.4456 5.4456 5.4456
angles: 90.00 90.00 90.00
Sites, in units of the cell vectors:
Tl: 0.0000 0.5000 0.0000
Tl: 0.0000 0.0000 0.5000
Tl: 0.5000 0.0000 0.0000
Al: 0.0000 0.0000 0.0000
In: 0.5000 0.5000 0.5000

Properties
- Magnetic moment: 0.00 μB/f.u.
- Crystal system: cubic
- Volume: 161.5 Å³ per cell

*2*
A plane-wave DFT calculation with PBE was carried out for a relaxed structure of AlTl3In.

abc: 5.7572 5.7572 5.7572
angles: 90.00 90.00 90.00
Sites, in units of the cell vectors:
Tl: 0.0000 0.5000 0.0000
Tl: 0.0000 0.0000 0.5000
Tl: 0.5000 0.0000 0.0000
Al: 0.5000 0.5000 0.5000
In: 0.0000 0.0000 0.0000

Properties
- Magnetic moment: 0.00 μB/f.u.
- Crystal system: cubic
- Volume: 190.8 Å³ per cell

Which of them is the most stable? Correct choice: *1*.

*1*
A plane-wave DFT calculation with PBE was carried out for a relaxed structure of AlTlIn3.

abc: 5.7165 5.7165 5.7165
angles: 90.00 90.00 90.00
Sites, in units of the cell vectors:
Tl: 0.0000 0.0000 0.0000
Al: 0.5000 0.5000 0.5000
In: 0.0000 0.5000 0.0000
In: 0.0000 0.0000 0.5000
In: 0.5000 0.0000 0.0000

Properties
- Magnetic moment: 0.00 μB/f.u.
- Crystal system: cubic
- Volume: 186.8 Å³ per cell

*2*
A plane-wave DFT calculation with PBE was carried out for a relaxed structure of AlTlIn3.

abc: 5.3922 5.3922 5.3922
angles: 90.00 90.00 90.00
Sites, in units of the cell vectors:
Tl: 0.5000 0.5000 0.5000
Al: 0.0000 0.0000 0.0000
In: 0.0000 0.5000 0.0000
In: 0.0000 0.0000 0.5000
In: 0.5000 0.0000 0.0000

Properties
- Magnetic moment: 0.00 μB/f.u.
- Crystal system: cubic
- Volume: 156.8 Å³ per cell

Which of them is the most stable? Correct choice: *2*.

*1*
A plane-wave DFT calculation with PBE was carried out for a relaxed structure of Al2Tl2In.

abc: 8.7739 8.7739 3.3182
angles: 90.00 90.00 90.00
Sites, in units of the cell vectors:
Tl: 0.3207 0.8207 0.0000
Tl: 0.8207 0.6793 0.0000
Tl: 0.6793 0.1793 0.0000
Tl: 0.1793 0.3207 0.0000
Al: 0.1160 0.6160 0.5000
Al: 0.6160 0.8840 0.5000
Al: 0.8840 0.3840 0.5000
Al: 0.3840 0.1160 0.5000
In: 0.0000 0.0000 0.0000
In: 0.5000 0.5000 0.0000

Properties
- Magnetic moment: 0.00 μB/f.u.
- Crystal system: tetragonal
- Volume: 255.4 Å³ per cell

*2*
A plane-wave DFT calculation with PBE was carried out for a relaxed structure of Al2Tl2In.

abc: 3.8299 3.8299 9.4507
angles: 78.31 78.31 90.00
Sites, in units of the cell vectors:
Tl: 0.3894 0.3894 0.2213
Tl: 0.6106 0.6106 0.7787
Al: 0.7500 0.2500 0.5000
Al: 0.2500 0.7500 0.5000
In: 0.0000 0.0000 0.0000

Properties
- Magnetic moment: 0.00 μB/f.u.
- Crystal system: tetragonal
- Volume: 132.8 Å³ per cell

*3*
A plane-wave DFT calculation with PBE was carried out for a relaxed structure of Al2Tl2In.

abc: 7.2595 7.2595 4.8788
angles: 90.00 90.00 90.00
Sites, in units of the cell vectors:
Tl: 0.1768 0.6768 0.5000
Tl: 0.6768 0.8232 0.5000
Tl: 0.8232 0.3232 0.5000
Tl: 0.3232 0.1768 0.5000
Al: 0.3706 0.8706 0.0000
Al: 0.8706 0.6294 0.0000
Al: 0.6294 0.1294 0.0000
Al: 0.1294 0.3706 0.0000
In: 0.0000 0.0000 0.0000
In: 0.5000 0.5000 0.0000

Properties
- Magnetic moment: 0.00 μB/f.u.
- Crystal system: tetragonal
- Volume: 257.1 Å³ per cell

Which of them is the most stable? Correct choice: *3*.

*1*
A plane-wave DFT calculation with PBE was carried out for a relaxed structure of AlTlIn.

abc: 6.3614 6.3614 6.3614
angles: 150.69 142.43 48.35
Sites, in units of the cell vectors:
Tl: 0.6575 0.6575 0.0000
Al: 0.9896 0.9896 0.0000
In: 0.3529 0.3529 0.0000

Properties
- Magnetic moment: 0.00 μB/f.u.
- Crystal system: orthorhombic
- Volume: 76.5 Å³ per cell

*2*
A plane-wave DFT calculation with PBE was carried out for a relaxed structure of AlTlIn.

abc: 7.3735 7.3735 7.3735
angles: 154.12 154.12 36.92
Sites, in units of the cell vectors:
Tl: 0.6562 0.6562 0.0000
Al: 0.9945 0.9945 0.0000
In: 0.3492 0.3492 0.0000

Properties
- Magnetic moment: 0.00 μB/f.u.
- Crystal system: tetragonal
- Volume: 76.3 Å³ per cell

*3*
A plane-wave DFT calculation with PBE was carried out for a relaxed structure of AlTlIn.

abc: 3.6544 3.6544 11.3855
angles: 90.00 90.00 90.00
Sites, in units of the cell vectors:
In: 0.0000 0.5000 0.5925
In: 0.5000 0.0000 0.4075
Tl: 0.5000 0.0000 0.7799
Tl: 0.0000 0.5000 0.2201
Al: 0.0000 0.5000 0.9495
Al: 0.5000 0.0000 0.0505

Properties
- Magnetic moment: 0.00 μB/f.u.
- Crystal system: tetragonal
- Volume: 152.1 Å³ per cell

Which of them is the most stable? Correct choice: *3*.

*1*
A plane-wave DFT calculation with PBE was carried out for a relaxed structure of AlTlIn.

abc: 4.8789 4.8789 4.8789
angles: 60.00 60.00 60.00
Sites, in units of the cell vectors:
Tl: 0.5000 0.5000 0.5000
Al: 0.7500 0.7500 0.7500
In: 0.0000 0.0000 0.0000

Properties
- Magnetic moment: 0.00 μB/f.u.
- Crystal system: cubic
- Volume: 82.1 Å³ per cell

*2*
A plane-wave DFT calculation with PBE was carried out for a relaxed structure of AlTlIn.

abc: 5.2761 5.2761 3.2054
angles: 90.00 90.00 120.00
Sites, in units of the cell vectors:
Tl: 0.6667 0.3333 0.6670
Al: 0.0000 0.0000 0.1655
In: 0.3333 0.6667 0.1675

Properties
- Magnetic moment: 0.00 μB/f.u.
- Crystal system: hexagonal
- Volume: 77.3 Å³ per cell

Which of them is the most stable? Correct choice: *1*.

*1*
A plane-wave DFT calculation with PBE was carried out for a relaxed structure of Tm4AlIn.

abc: 3.4449 7.1101 8.6231
angles: 122.30 78.48 75.98
Sites, in units of the cell vectors:
Tm: 0.8335 0.5116 0.8215
Tm: 0.3206 0.0264 0.3324
Tm: 0.1665 0.4884 0.1785
Tm: 0.6794 0.9736 0.6676
Al: 0.5000 0.5000 0.5000
In: 0.0000 0.0000 0.0000

Properties
- Magnetic moment: 0.00 μB/f.u.
- Crystal system: monoclinic
- Volume: 158.6 Å³ per cell

*2*
A plane-wave DFT calculation with PBE was carried out for a relaxed structure of Tm4AlIn.

abc: 5.0480 5.0485 8.7597
angles: 73.24 73.25 60.00
Sites, in units of the cell vectors:
Tm: 0.6282 0.6283 0.1154
Tm: 0.3718 0.3717 0.8846
Tm: 0.1218 0.1216 0.6349
Tm: 0.8782 0.8784 0.3651
Al: 0.0000 0.0000 0.0000
In: 0.5000 0.5000 0.5000

Properties
- Magnetic moment: 0.00 μB/f.u.
- Crystal system: trigonal
- Volume: 182.3 Å³ per cell

Which of them is the most stable? Correct choice: *1*.

*1*
A plane-wave DFT calculation with PBE was carried out for a relaxed structure of Tm4AlIn2.

abc: 5.1259 5.1259 8.8852
angles: 73.23 73.23 60.00
Sites, in units of the cell vectors:
Tm: 0.8743 0.8743 0.3771
Tm: 0.1257 0.1257 0.6229
Tm: 0.6227 0.6227 0.1319
Tm: 0.3773 0.3773 0.8681
Al: 0.0000 0.0000 0.0000
In: 0.7514 0.7514 0.7459
In: 0.2486 0.2486 0.2541

Properties
- Magnetic moment: 0.00 μB/f.u.
- Crystal system: trigonal
- Volume: 190.6 Å³ per cell

*2*
A plane-wave DFT calculation with PBE was carried out for a relaxed structure of Tm4AlIn2.

abc: 5.5828 5.5828 7.6310
angles: 111.46 111.46 90.00
Sites, in units of the cell vectors:
Tm: 0.7500 0.2500 0.5000
Tm: 0.2500 0.7500 0.5000
Tm: 0.5000 0.0000 0.0000
Tm: 0.0000 0.5000 0.0000
Al: 0.0000 0.0000 0.0000
In: 0.6256 0.6256 0.2512
In: 0.3744 0.3744 0.7488

Properties
- Magnetic moment: 0.00 μB/f.u.
- Crystal system: tetragonal
- Volume: 203.5 Å³ per cell

Which of them is the most stable? Correct choice: *1*.

*1*
A plane-wave DFT calculation with PBE was carried out for a relaxed structure of Tm3AlIn2.

abc: 3.4706 3.4706 12.2296
angles: 90.00 90.00 90.00
Each line ends with the local moment (μB).
Sites, in units of the cell vectors:
Tm: 0.0000 0.0000 0.0000  0.11
Tm: 0.0000 0.0000 0.6551  -0.01
Tm: 0.0000 0.0000 0.3449  -0.01
Al: 0.5000 0.5000 0.5000  0.00
In: 0.5000 0.5000 0.8290  0.00
In: 0.5000 0.5000 0.1710  0.00

Properties
- Magnetic moment: 0.11 μB/f.u.
- Crystal system: tetragonal
- Volume: 147.3 Å³ per cell

*2*
A plane-wave DFT calculation with PBE was carried out for a relaxed structure of Tm3AlIn2.

abc: 3.6197 5.2214 8.2451
angles: 108.46 90.00 90.00
Sites, in units of the cell vectors:
Tm: 0.5000 0.5000 0.0000
Tm: 0.5000 0.8402 0.6804
Tm: 0.5000 0.1598 0.3196
Al: 0.0000 0.0000 0.0000
In: 0.0000 0.3302 0.6604
In: 0.0000 0.6698 0.3396

Properties
- Magnetic moment: 0.00 μB/f.u.
- Crystal system: orthorhombic
- Volume: 147.8 Å³ per cell

Which of them is the most stable? Correct choice: *1*.

*1*
A plane-wave DFT calculation with PBE was carried out for a relaxed structure of Tm8Al2In.

abc: 4.9341 8.2648 8.6891
angles: 118.40 106.49 90.00
Sites, in units of the cell vectors:
Tm: 0.6599 0.8729 0.3199
Tm: 0.3401 0.5530 0.6801
Tm: 0.1469 0.1469 0.2939
Tm: 0.0000 0.3093 0.0000
Tm: 0.8531 0.8531 0.7061
Tm: 0.6599 0.4470 0.3199
Tm: 0.3401 0.1271 0.6801
Tm: 0.0000 0.6907 0.0000
Al: 0.1940 0.6940 0.3880
Al: 0.8060 0.3060 0.6120
In: 0.5000 0.0000 0.0000

Properties
- Magnetic moment: 0.00 μB/f.u.
- Crystal system: orthorhombic
- Volume: 295.0 Å³ per cell

*2*
A plane-wave DFT calculation with PBE was carried out for a relaxed structure of Tm8Al2In.

abc: 5.4041 8.2540 8.2540
angles: 116.47 101.03 101.03
Sites, in units of the cell vectors:
Tm: 0.8896 0.9112 0.6693
Tm: 0.8896 0.6693 0.9112
Tm: 0.3006 0.6050 0.6050
Tm: 0.5000 0.7768 0.2232
Tm: 0.5000 0.2232 0.7768
Tm: 0.6994 0.3950 0.3950
Tm: 0.1104 0.3307 0.0888
Tm: 0.1104 0.0888 0.3307
Al: 0.0000 0.3056 0.6944
Al: 0.0000 0.6944 0.3056
In: 0.5000 0.0000 0.0000

Properties
- Magnetic moment: 0.01 μB/f.u.
- Crystal system: monoclinic
- Volume: 307.1 Å³ per cell

Which of them is the most stable? Correct choice: *1*.

*1*
A plane-wave DFT calculation with PBE was carried out for a relaxed structure of AlVIn3.

abc: 5.2191 5.2191 5.2191
angles: 90.00 90.00 90.00
Each line ends with the local moment (μB).
Sites, in units of the cell vectors:
V: 0.0000 0.0000 0.0000  0.39
Al: 0.5000 0.5000 0.5000  0.00
In: 0.0000 0.5000 0.0000  0.00
In: 0.0000 0.0000 0.5000  0.00
In: 0.5000 0.0000 0.0000  0.00

Properties
- Magnetic moment: 0.45 μB/f.u.
- Crystal system: cubic
- Volume: 142.2 Å³ per cell

*2*
A plane-wave DFT calculation with PBE was carried out for a relaxed structure of AlVIn3.

abc: 5.2346 5.2346 5.2346
angles: 90.00 90.00 90.00
Each line ends with the local moment (μB).
Sites, in units of the cell vectors:
V: 0.5000 0.5000 0.5000  3.04
Al: 0.0000 0.0000 0.0000  0.02
In: 0.0000 0.5000 0.0000  -0.02
In: 0.0000 0.0000 0.5000  -0.02
In: 0.5000 0.0000 0.0000  -0.02

Properties
- Magnetic moment: 3.68 μB/f.u.
- Crystal system: cubic
- Volume: 143.4 Å³ per cell

Which of them is the most stable? Correct choice: *1*.

*1*
A plane-wave DFT calculation with PBE was carried out for a relaxed structure of AlInW2.

abc: 4.8850 4.8850 2.8471
angles: 90.00 90.00 90.00
Sites, in units of the cell vectors:
Al: 0.5000 0.0000 0.5000
W: 0.0000 0.0000 0.0000
W: 0.5000 0.5000 0.0000
In: 0.0000 0.5000 0.5000

Properties
- Magnetic moment: 0.00 μB/f.u.
- Crystal system: tetragonal
- Volume: 67.9 Å³ per cell

*2*
A plane-wave DFT calculation with PBE was carried out for a relaxed structure of AlInW2.

abc: 5.2396 5.2396 5.2396
angles: 141.73 128.58 65.87
Sites, in units of the cell vectors:
Al: 0.5112 0.5112 0.0000
W: 0.9824 0.9824 0.0000
W: 0.7583 0.2583 0.5000
In: 0.2480 0.7480 0.5000

Properties
- Magnetic moment: 0.00 μB/f.u.
- Crystal system: orthorhombic
- Volume: 68.7 Å³ per cell

Which of them is the most stable? Correct choice: *2*.

*1*
A plane-wave DFT calculation with PBE was carried out for a relaxed structure of AlInW2.

abc: 7.3669 7.3669 5.8715
angles: 51.15 51.15 90.00
Sites, in units of the cell vectors:
Al: 0.5000 0.5000 0.0000
Al: 0.2500 0.7500 0.5000
W: 0.5973 0.1250 0.2500
W: 0.1527 0.6250 0.2500
W: 0.3750 0.4027 0.7500
W: 0.8750 0.8473 0.7500
In: 0.0000 0.0000 0.0000
In: 0.7500 0.2500 0.5000

Properties
- Magnetic moment: 0.00 μB/f.u.
- Crystal system: tetragonal
- Volume: 147.0 Å³ per cell

*2*
A plane-wave DFT calculation with PBE was carried out for a relaxed structure of AlInW2.

abc: 4.5653 4.5653 4.5653
angles: 60.00 60.00 60.00
Sites, in units of the cell vectors:
Al: 0.0000 0.0000 0.0000
W: 0.2500 0.2500 0.2500
W: 0.7500 0.7500 0.7500
In: 0.5000 0.5000 0.5000

Properties
- Magnetic moment: 0.00 μB/f.u.
- Crystal system: cubic
- Volume: 67.3 Å³ per cell

Which of them is the most stable? Correct choice: *2*.

*1*
A plane-wave DFT calculation with PBE was carried out for a relaxed structure of AlInW2.

abc: 4.5634 4.5634 4.5634
angles: 60.00 60.00 60.00
Sites, in units of the cell vectors:
Al: 0.5000 0.5000 0.5000
W: 0.0000 0.0000 0.0000
W: 0.2500 0.2500 0.2500
In: 0.7500 0.7500 0.7500

Properties
- Magnetic moment: 0.00 μB/f.u.
- Crystal system: cubic
- Volume: 67.2 Å³ per cell

*2*
A plane-wave DFT calculation with PBE was carried out for a relaxed structure of AlInW2.

abc: 4.5207 2.8351 5.4462
angles: 79.28 90.00 90.00
Sites, in units of the cell vectors:
Al: 0.0000 0.5117 0.4766
W: 0.0000 0.0646 0.0162
W: 0.5000 0.2252 0.2543
In: 0.5000 0.6985 0.7529

Properties
- Magnetic moment: 0.00 μB/f.u.
- Crystal system: monoclinic
- Volume: 68.6 Å³ per cell

Which of them is the most stable? Correct choice: *2*.